(1)
Computed, not measured: crystalline Nb2PS at its relaxed geometry at the PBE level of DFT.

E_tot, eV/atom: -8.1895
ΔE_f (raw), eV/atom: -0.77
Fermi-level density of states, states/eV per atom: 0.80
Size of the total moment, Bohr magnetons per cell: 0.0
Symmetry: R3m (160)

POSCAR file:
```
Nb2PS
1.0
1.6880 0.9746 6.5433
-1.6880 0.9746 6.5433
0.0000 -1.9491 6.5433
Nb P S
2 1 1
direct
0.0000 0.0000 0.0000
0.1659 0.1659 0.1659
0.5831 0.5831 0.5831
0.7473 0.7473 0.7473
```


(2)
Computed, not measured: crystalline La2ZrAs at its relaxed geometry at the PBE level of DFT.

E_tot, eV/atom: -6.2998
Fermi-level density of states, states/eV per atom: 1.07
DFT formation energy, eV per atom: -0.5367
Size of the total moment, Bohr magnetons per cell: 0.4
Symmetry: P4mm (99)

POSCAR file:
```
La2ZrAs
1.0
3.6798 0.0000 0.0000
0.0000 3.6798 0.0000
0.0000 0.0000 8.1323
La Zr As
2 1 1
direct
0.0000 0.0000 0.0000
0.5000 0.5000 0.3467
0.0000 0.0000 0.6189
0.5000 0.5000 0.7554
```


(3)
Computed, not measured: crystalline CoBi3Ru at its relaxed geometry at the PBE level of DFT.

E_tot, eV/atom: -4.7062
Fermi-level density of states, states/eV per atom: 1.07
DFT formation energy, eV per atom: 0.8987
Size of the total moment, Bohr magnetons per cell: 0.0
Symmetry: Pm-3m (221)

POSCAR file:
```
CoBi3Ru
1.0
4.9802 0.0000 0.0000
0.0000 4.9802 0.0000
0.0000 0.0000 4.9802
Co Bi Ru
1 3 1
direct
0.0000 0.0000 0.0000
0.0000 0.0000 0.5000
0.0000 0.5000 0.0000
0.5000 0.0000 0.0000
0.5000 0.5000 0.5000
```


(4)
Computed, not measured: crystalline LiZr2Au at its relaxed geometry at the PBE level of DFT.

E_tot, eV/atom: -5.6782
Fermi-level density of states, states/eV per atom: 0.96
DFT formation energy, eV per atom: -0.1064
Size of the total moment, Bohr magnetons per cell: 0.0
Symmetry: I-4m2 (119)

POSCAR file:
```
LiZr2Au
1.0
-2.0625 2.0625 4.5408
2.0625 -2.0625 4.5408
2.0625 2.0625 -4.5408
Li Zr Au
1 2 1
direct
0.0000 0.0000 0.0000
0.2500 0.7500 0.5000
0.5000 0.5000 0.0000
0.7500 0.2500 0.5000
```


(5)
Computed, not measured: crystalline Sr2MgZrTe at its relaxed geometry at the PBE level of DFT.

E_tot, eV/atom: -3.0134
ΔE_f (raw), eV/atom: 0.32
Fermi-level density of states, states/eV per atom: 1.52
Size of the total moment, Bohr magnetons per cell: 4.0
Symmetry: P4/mmm (123)

POSCAR file:
```
Sr2MgZrTe
1.0
6.1816 0.0000 0.0000
0.0000 6.1816 0.0000
0.0000 0.0000 5.4885
Sr Mg Zr Te
2 1 1 1
direct
0.0000 0.5000 0.0000
0.5000 0.0000 0.0000
0.0000 0.0000 0.5000
0.5000 0.5000 0.5000
0.0000 0.0000 0.0000
```


(6)
Computed, not measured: crystalline Rb2ZrRu3O12 at its relaxed geometry at the PBE level of DFT.

E_tot, eV/atom: -6.7896
ΔE_f (raw), eV/atom: -1.36
Fermi-level density of states, states/eV per atom: 0.53
Size of the total moment, Bohr magnetons per cell: 3.2
Symmetry: R-3m (166)

POSCAR file:
```
Rb2ZrRu3O12
1.0
3.6340 2.0981 6.1720
-3.6340 2.0981 6.1720
0.0000 -4.1961 6.1720
Rb Zr Ru O
2 1 3 12
direct
0.1196 0.1196 0.1196
0.8804 0.8804 0.8804
0.5000 0.5000 0.5000
0.0000 0.5000 0.5000
0.5000 0.0000 0.5000
0.5000 0.5000 0.0000
0.1621 0.5706 0.5706
0.1920 0.1920 0.5736
0.1920 0.5736 0.1920
0.4264 0.8080 0.8080
0.4294 0.4294 0.8379
0.4294 0.8379 0.4294
0.5706 0.1621 0.5706
0.5706 0.5706 0.1621
0.5736 0.1920 0.1920
0.8080 0.4264 0.8080
0.8080 0.8080 0.4264
0.8379 0.4294 0.4294
```


(7)
Computed, not measured: crystalline Sc4Co2Ir at its relaxed geometry at the PBE level of DFT.

E_tot, eV/atom: -7.3867
Fermi-level density of states, states/eV per atom: 0.66
DFT formation energy, eV per atom: -0.4726
Size of the total moment, Bohr magnetons per cell: 0.0
Symmetry: R-3m (166)

POSCAR file:
```
Sc4Co2Ir
1.0
2.2212 1.2824 7.2203
-2.2212 1.2824 7.2203
0.0000 -2.5648 7.2203
Sc Co Ir
4 2 1
direct
0.1206 0.1206 0.1206
0.3725 0.3725 0.3725
0.6275 0.6275 0.6275
0.8794 0.8794 0.8794
0.2471 0.2471 0.2471
0.7529 0.7529 0.7529
0.5000 0.5000 0.5000
```


(8)
Computed, not measured: crystalline Ba2CdGa3Au4 at its relaxed geometry at the PBE level of DFT.

E_tot, eV/atom: -3.2444
Fermi-level density of states, states/eV per atom: 0.69
DFT formation energy, eV per atom: -0.5493
Size of the total moment, Bohr magnetons per cell: 0.0
Symmetry: P-4m2 (115)

POSCAR file:
```
Ba2CdGa3Au4
1.0
4.7482 0.0000 0.0000
0.0000 4.7482 0.0000
0.0000 0.0000 10.8634
Ba Cd Ga Au
2 1 3 4
direct
0.0000 0.5000 0.2437
0.5000 0.0000 0.7563
0.0000 0.0000 0.5000
0.0000 0.5000 0.8848
0.5000 0.0000 0.1152
0.5000 0.5000 0.5000
0.0000 0.0000 0.0000
0.0000 0.5000 0.6406
0.5000 0.0000 0.3594
0.5000 0.5000 0.0000
```


(9)
Computed, not measured: crystalline AlZnAu2 at its relaxed geometry at the PBE level of DFT.

E_tot, eV/atom: -3.1352
Fermi-level density of states, states/eV per atom: 0.19
DFT formation energy, eV per atom: -0.2424
Size of the total moment, Bohr magnetons per cell: 0.0
Symmetry: C2/c (15)

POSCAR file:
```
AlZnAu2
1.0
3.7777 -3.8247 0.0000
3.7777 3.8247 0.0000
-3.0222 0.0000 4.8056
Al Zn Au
2 2 4
direct
0.1318 0.8682 0.7500
0.8682 0.1318 0.2500
0.2517 0.7483 0.2500
0.7483 0.2517 0.7500
0.2321 0.3753 0.7585
0.3753 0.2321 0.2585
0.6247 0.7679 0.7415
0.7679 0.6247 0.2415
```


(10)
Computed, not measured: crystalline Sr2CdAs2 at its relaxed geometry at the PBE level of DFT.

E_tot, eV/atom: -3.4485
Fermi-level density of states, states/eV per atom: 0.77
DFT formation energy, eV per atom: -0.7330
Size of the total moment, Bohr magnetons per cell: 0.2
Symmetry: P4/mbm (127)

POSCAR file:
```
Sr2CdAs2
1.0
8.0525 0.0000 0.0000
0.0000 8.0525 0.0000
0.0000 0.0000 4.3718
Sr Cd As
4 2 4
direct
0.1501 0.3499 0.0000
0.3499 0.8499 0.0000
0.6501 0.1501 0.0000
0.8499 0.6501 0.0000
0.0000 0.0000 0.5000
0.5000 0.5000 0.5000
0.1596 0.6596 0.5000
0.3404 0.1596 0.5000
0.6596 0.8404 0.5000
0.8404 0.3404 0.5000
```


(11)
Computed, not measured: crystalline ScP2S2 at its relaxed geometry at the PBE level of DFT.

E_tot, eV/atom: -4.4537
ΔE_f (raw), eV/atom: 0.63
Fermi-level density of states, states/eV per atom: 1.25
Size of the total moment, Bohr magnetons per cell: 0.4
Symmetry: P4/mmm (123)

POSCAR file:
```
ScP2S2
1.0
5.0592 0.0000 0.0000
0.0000 5.0592 0.0000
0.0000 0.0000 4.6659
Sc P S
1 2 2
direct
0.0000 0.0000 0.0000
0.0000 0.5000 0.0000
0.5000 0.0000 0.0000
0.0000 0.0000 0.5000
0.5000 0.5000 0.5000
```


(12)
Computed, not measured: crystalline Pu2CdC at its relaxed geometry at the PBE level of DFT.

E_tot, eV/atom: -9.6283
Fermi-level density of states, states/eV per atom: 2.23
DFT formation energy, eV per atom: 0.0724
Size of the total moment, Bohr magnetons per cell: 10.5
Symmetry: P4/mmm (123)

POSCAR file:
```
Pu2CdC
1.0
3.1085 0.0000 0.0000
0.0000 3.1085 0.0000
0.0000 0.0000 8.1609
Pu Cd C
2 1 1
direct
0.0000 0.0000 0.1690
0.0000 0.0000 0.8310
0.5000 0.5000 0.5000
0.5000 0.5000 0.0000
```


(13)
Computed, not measured: crystalline HgHIN2 at its relaxed geometry at the PBE level of DFT.

E_tot, eV/atom: -2.1915
Fermi-level density of states, states/eV per atom: 0.40
Size of the total moment, Bohr magnetons per cell: 5.8
Symmetry: P4/mmm (123)

POSCAR file:
```
HgHIN2
1.0
5.5469 0.0000 0.0000
0.0000 5.5469 0.0000
0.0000 0.0000 3.8430
Hg H I N
1 1 1 2
direct
0.0000 0.0000 0.0000
0.5000 0.5000 0.5000
0.5000 0.5000 0.0000
0.0000 0.5000 0.5000
0.5000 0.0000 0.5000
```


(14)
Computed, not measured: crystalline Zr2AlAu at its relaxed geometry at the PBE level of DFT.

E_tot, eV/atom: -6.5067
Fermi-level density of states, states/eV per atom: 0.81
DFT formation energy, eV per atom: -0.4776
Size of the total moment, Bohr magnetons per cell: 0.0
Symmetry: P2/m (10)

POSCAR file:
```
Zr2AlAu
1.0
3.2225 0.0000 0.0000
0.0000 4.1883 0.0000
-0.0072 0.0000 5.7960
Zr Al Au
2 1 1
direct
0.0009 0.0000 0.2488
0.9991 0.0000 0.7512
0.5000 0.5000 0.0000
0.5000 0.5000 0.5000
```


(15)
Computed, not measured: crystalline PmTm6Al6 at its relaxed geometry at the PBE level of DFT.

E_tot, eV/atom: -4.4751
Fermi-level density of states, states/eV per atom: 1.17
DFT formation energy, eV per atom: -0.3186
Size of the total moment, Bohr magnetons per cell: 0.0
Symmetry: P6/mmm (191)

POSCAR file:
```
PmTm6Al6
1.0
5.8667 0.0000 0.0000
-2.9334 5.0807 0.0000
0.0000 0.0000 10.4153
Pm Tm Al
1 6 6
direct
0.0000 0.0000 0.0000
0.0000 0.0000 0.3368
0.0000 0.0000 0.6632
0.3333 0.6667 0.0000
0.3333 0.6667 0.5000
0.6667 0.3333 0.0000
0.6667 0.3333 0.5000
0.0000 0.5000 0.2454
0.0000 0.5000 0.7546
0.5000 0.0000 0.2454
0.5000 0.0000 0.7546
0.5000 0.5000 0.2454
0.5000 0.5000 0.7546
```


(16)
Computed, not measured: crystalline Pa2Nb2Ge3 at its relaxed geometry at the PBE level of DFT.

E_tot, eV/atom: -7.8276
Fermi-level density of states, states/eV per atom: 1.15
DFT formation energy, eV per atom: -0.2585
Size of the total moment, Bohr magnetons per cell: 0.0
Symmetry: C2/m (12)

POSCAR file:
```
Pa2Nb2Ge3
1.0
5.2755 -1.9465 0.0000
5.2755 1.9465 0.0000
-2.3997 0.0000 7.0683
Pa Nb Ge
2 2 3
direct
0.1231 0.1231 0.2967
0.8769 0.8769 0.7033
0.3791 0.3791 0.0584
0.6209 0.6209 0.9416
0.1749 0.1749 0.7292
0.5000 0.5000 0.5000
0.8251 0.8251 0.2708
```


(17)
Computed, not measured: crystalline Be2RuBr at its relaxed geometry at the PBE level of DFT.

E_tot, eV/atom: -4.2278
ΔE_f (raw), eV/atom: 0.37
Fermi-level density of states, states/eV per atom: 0.50
Size of the total moment, Bohr magnetons per cell: 0.0
Symmetry: C2/m (12)

POSCAR file:
```
Be2RuBr
1.0
3.8450 -1.6506 0.0000
3.8450 1.6506 0.0000
-0.2179 0.0000 4.8369
Be Ru Br
2 1 1
direct
0.1940 0.1940 0.3956
0.8060 0.8060 0.6044
0.5000 0.5000 0.5000
0.0000 0.0000 0.0000
```


(18)
Computed, not measured: crystalline CaCd2Ir at its relaxed geometry at the PBE level of DFT.

E_tot, eV/atom: -3.1013
Fermi-level density of states, states/eV per atom: 0.40
DFT formation energy, eV per atom: 0.0719
Size of the total moment, Bohr magnetons per cell: 0.0
Symmetry: C2/m (12)

POSCAR file:
```
CaCd2Ir
1.0
2.9064 -5.1958 0.0000
2.9064 5.1958 0.0000
-1.6488 0.0000 2.7705
Ca Cd Ir
1 2 1
direct
0.0000 0.0000 0.0000
0.0000 0.5000 0.5000
0.5000 0.0000 0.5000
0.5000 0.5000 0.0000
```


(19)
Computed, not measured: crystalline In3PtPb at its relaxed geometry at the PBE level of DFT.

E_tot, eV/atom: -3.6631
Fermi-level density of states, states/eV per atom: 0.73
DFT formation energy, eV per atom: -0.0702
Size of the total moment, Bohr magnetons per cell: 0.0
Symmetry: Pm-3m (221)

POSCAR file:
```
In3PtPb
1.0
5.2282 0.0000 0.0000
0.0000 5.2282 0.0000
0.0000 0.0000 5.2282
In Pt Pb
3 1 1
direct
0.0000 0.0000 0.5000
0.0000 0.5000 0.0000
0.5000 0.0000 0.0000
0.0000 0.0000 0.0000
0.5000 0.5000 0.5000
```


(20)
Computed, not measured: crystalline PrErTe2O8 at its relaxed geometry at the PBE level of DFT.

E_tot, eV/atom: -6.5263
ΔE_f (raw), eV/atom: -1.92
Fermi-level density of states, states/eV per atom: 0.14
Size of the total moment, Bohr magnetons per cell: 0.0
Symmetry: I-4m2 (119)

POSCAR file:
```
PrErTe2O8
1.0
-3.7431 3.7431 3.4562
3.7431 -3.7431 3.4562
3.7431 3.7431 -3.4562
Pr Er Te O
1 1 2 8
direct
0.0000 0.0000 0.0000
0.2500 0.7500 0.5000
0.5000 0.5000 0.0000
0.7500 0.2500 0.5000
0.3022 0.1104 0.8082
0.3022 0.4940 0.1918
0.3729 0.0513 0.3216
0.5060 0.6978 0.8082
0.7297 0.0513 0.6784
0.8896 0.6978 0.1918
0.9487 0.2703 0.3216
0.9487 0.6271 0.6784
```